First-principles (PBE) data for an optimized crystal structure of LaTbNd2Se4, as listed in Alexandria via LeMat-Bulk.

Output
- E_form (uncorrected) (meV per atom) = -1858

The structure in POSCAR format:
```
LaTbNd2Se4
1.0
7.305 0.000 0.000
0.000 4.176 0.000
-2.392 0.000 6.966
La Tb Nd Se
1 1 2 4
Direct
0.000 0.000 0.000
0.000 0.500 0.500
0.500 0.000 0.500
0.500 0.500 0.000
0.243 0.000 0.740
0.249 0.500 0.258
0.751 0.500 0.742
0.757 0.000 0.260
```

***

First-principles (PBE) data for an optimized crystal structure of ScNiMo, as listed in Alexandria via LeMat-Bulk.

Output
- formation energy from the elements (eV/atom) = -0.10
- relative energy among the computed polymorphs (meV/atom) = 14.8

The structure in POSCAR format:
```
ScNiMo
1.0
10.039 0.000 0.000
0.000 4.284 0.000
-0.648 0.000 4.607
Sc Ni Mo
4 4 4
Direct
0.120 0.000 0.315
0.380 0.500 0.685
0.620 0.500 0.315
0.880 0.000 0.685
0.214 0.000 0.854
0.286 0.500 0.146
0.714 0.500 0.854
0.786 0.000 0.146
0.068 0.500 0.790
0.432 0.000 0.210
0.568 0.000 0.790
0.932 0.500 0.210
```

***

First-principles (PBE) data for an optimized crystal structure of NdHoPt10, as listed in Alexandria via LeMat-Bulk.

Output
- formation energy from the elements (eV/atom) = -0.70

The structure in POSCAR format:
```
NdHoPt10
1.0
4.454 0.000 0.000
0.000 5.396 0.000
0.000 0.000 9.295
Nd Ho Pt
1 1 10
Direct
0.000 0.000 0.000
0.000 0.500 0.500
0.000 0.000 0.337
0.000 0.000 0.663
0.000 0.500 0.171
0.000 0.500 0.829
0.500 0.000 0.500
0.500 0.251 0.252
0.500 0.251 0.748
0.500 0.500 0.000
0.500 0.749 0.252
0.500 0.749 0.748
```

***

First-principles (PBE) data for an optimized crystal structure of Y5In2Ga, as listed in Alexandria via LeMat-Bulk.

Output
- formation energy from the elements (eV/atom) = -0.46

The structure in POSCAR format:
```
Y5In2Ga
1.0
6.793 0.000 0.000
0.000 12.861 0.000
0.000 0.000 5.057
Y In Ga
10 4 2
Direct
0.000 0.000 0.000
0.132 0.278 0.000
0.164 0.597 0.500
0.336 0.097 0.500
0.368 0.778 0.000
0.500 0.500 0.000
0.632 0.222 0.000
0.664 0.903 0.500
0.836 0.403 0.500
0.868 0.722 0.000
0.119 0.848 0.500
0.381 0.348 0.500
0.619 0.652 0.500
0.881 0.152 0.500
0.000 0.500 0.000
0.500 0.000 0.000
```

***

First-principles (PBE) data for an optimized crystal structure of Pr8Y6Er, as listed in Alexandria via LeMat-Bulk.

Output
- formation energy from the elements (eV/atom) = 0.11
- relative energy among the computed polymorphs (meV/atom) = 0.0

The structure in POSCAR format:
```
Pr8Y6Er
1.0
4.610 2.662 7.044
-4.610 2.662 7.044
0.000 -5.323 7.044
Pr Y Er
8 6 1
Direct
0.078 0.078 0.078
0.215 0.613 0.254
0.254 0.215 0.613
0.387 0.746 0.785
0.613 0.254 0.215
0.746 0.785 0.387
0.785 0.387 0.746
0.922 0.922 0.922
0.039 0.594 0.750
0.250 0.961 0.406
0.406 0.250 0.961
0.594 0.750 0.039
0.750 0.039 0.594
0.961 0.406 0.250
0.500 0.500 0.500
```

***

First-principles (PBE) data for an optimized crystal structure of RbCaTa, as listed in Alexandria via LeMat-Bulk.

Output
- formation energy from the elements (eV/atom) = 1.84
- relative energy among the computed polymorphs (meV/atom) = 1447.1

The structure in POSCAR format:
```
RbCaTa
1.0
8.182 0.000 0.000
0.000 8.182 0.000
0.000 0.000 8.182
Rb Ca Ta
4 4 4
Direct
0.000 0.000 0.000
0.000 0.500 0.500
0.500 0.000 0.500
0.500 0.500 0.000
0.000 0.000 0.500
0.000 0.500 0.000
0.500 0.000 0.000
0.500 0.500 0.500
0.250 0.250 0.750
0.250 0.750 0.250
0.750 0.250 0.250
0.750 0.750 0.750
```

***

First-principles (PBE) data for an optimized crystal structure of IrSF2, as listed in Alexandria via LeMat-Bulk.

Output
- relative energy among the computed polymorphs (meV/atom) = 226.3
- E_form (uncorrected) (meV per atom) = -225

The structure in POSCAR format:
```
IrSF2
1.0
2.657 0.000 0.000
-1.328 2.301 0.000
0.000 0.000 29.883
Ir S F
3 3 6
Direct
0.000 0.000 0.000
0.333 0.667 0.667
0.667 0.333 0.333
0.000 0.000 0.500
0.333 0.667 0.167
0.667 0.333 0.833
0.000 0.000 0.443
0.000 0.000 0.557
0.333 0.667 0.110
0.333 0.667 0.224
0.667 0.333 0.776
0.667 0.333 0.890
```

***

First-principles (PBE) data for an optimized crystal structure of Li2MgPd3, as listed in Alexandria via LeMat-Bulk.

Output
- formation energy from the elements (eV/atom) = -0.55

The structure in POSCAR format:
```
Li2MgPd3
1.0
4.336 0.000 0.000
-2.168 3.755 0.000
0.000 0.000 5.297
Li Mg Pd
2 1 3
Direct
0.333 0.667 0.166
0.667 0.333 0.834
0.000 0.000 0.500
0.000 0.000 0.000
0.333 0.667 0.675
0.667 0.333 0.325
```

***

First-principles (PBE) data for an optimized crystal structure of LiSc3Bi4, as listed in Alexandria via LeMat-Bulk.

Output
- formation energy from the elements (eV/atom) = -0.49

The structure in POSCAR format:
```
LiSc3Bi4
1.0
7.385 0.000 0.000
0.000 8.792 0.000
-2.651 0.000 6.736
Li Sc Bi
2 6 8
Direct
0.000 0.126 0.250
0.000 0.874 0.750
0.000 0.371 0.750
0.000 0.629 0.250
0.500 0.127 0.750
0.500 0.375 0.250
0.500 0.625 0.750
0.500 0.873 0.250
0.249 0.376 0.497
0.249 0.624 0.997
0.250 0.123 0.001
0.250 0.877 0.501
0.750 0.123 0.499
0.750 0.877 0.999
0.751 0.376 0.003
0.751 0.624 0.503
```

***

First-principles (PBE) data for an optimized crystal structure of Ti2Si2S, as listed in Alexandria via LeMat-Bulk.

Output
- E_form (uncorrected) (meV per atom) = -611

The structure in POSCAR format:
```
Ti2Si2S
1.0
6.602 0.000 0.000
0.000 6.602 0.000
0.000 0.000 3.622
Ti Si S
4 4 2
Direct
0.177 0.323 0.000
0.323 0.823 0.000
0.677 0.177 0.000
0.823 0.677 0.000
0.123 0.623 0.500
0.377 0.123 0.500
0.623 0.877 0.500
0.877 0.377 0.500
0.000 0.000 0.000
0.500 0.500 0.000
```

***

First-principles (PBE) data for an optimized crystal structure of Sm3ZrPa2P6, as listed in Alexandria via LeMat-Bulk.

Output
- formation energy from the elements (eV/atom) = -1.45

The structure in POSCAR format:
```
Sm3ZrPa2P6
1.0
3.450 -5.976 0.000
3.450 5.976 0.000
-2.296 0.000 6.554
Sm Zr Pa P
3 1 2 6
Direct
0.000 0.000 0.000
0.333 0.667 0.000
0.667 0.333 0.000
0.500 0.500 0.500
0.166 0.834 0.500
0.834 0.166 0.500
0.093 0.423 0.267
0.250 0.250 0.736
0.423 0.093 0.267
0.577 0.907 0.733
0.750 0.750 0.264
0.907 0.577 0.733
```

***

First-principles (PBE) data for an optimized crystal structure of DyAl3PdPt, as listed in Alexandria via LeMat-Bulk.

Output
- formation energy from the elements (eV/atom) = -0.71

The structure in POSCAR format:
```
DyAl3PdPt
1.0
3.184 -6.161 0.000
3.184 6.161 0.000
0.000 0.000 5.711
Dy Al Pd Pt
2 6 2 2
Direct
0.215 0.785 0.750
0.785 0.215 0.250
0.203 0.203 0.000
0.203 0.203 0.500
0.353 0.647 0.250
0.647 0.353 0.750
0.797 0.797 0.000
0.797 0.797 0.500
0.433 0.567 0.750
0.567 0.433 0.250
0.146 0.854 0.250
0.854 0.146 0.750
```

***

| no. | total energy (eV/atom) |
| --- | --- |
| 1 | -5.987 |
| 2 | -7.749 |
| 3 | -6.510 |
| 4 | -5.558 |
| 5 | -5.327 |
| 6 | -3.096 |
| 7 | -4.407 |
| 8 | -4.053 |
| 9 | -5.040 |
| 10 | -6.764 |
| 11 | -7.633 |
| 12 | -5.223 |